Entry 1:
{
  "formula": "KSb6S12",
  "functional": "PBE",
  "state": "optimized geometry",
  "raw_formation_energy_kj_per_mol_atoms": 4.6,
  "lattice_angstrom": [[-7.055, 3.598, -1.575], [0.025, -6.592, -4.663], [-0.770, -2.817, 7.528]],
  "species": ["K", "S", "S", "S", "S", "S", "S", "S", "S", "S", "S", "S", "S", "Sb", "Sb", "Sb", "Sb", "Sb", "Sb"],
  "fractional_positions": [[0.000, 0.000, 0.000], [0.123, 0.500, 0.877], [0.433, 0.433, 0.155], [0.845, 0.567, 0.567], [0.500, 0.123, 0.877], [0.877, 0.500, 0.123], [0.123, 0.877, 0.500], [0.500, 0.877, 0.123], [0.567, 0.567, 0.845], [0.877, 0.123, 0.500], [0.155, 0.433, 0.433], [0.567, 0.845, 0.567], [0.433, 0.155, 0.433], [0.740, 0.740, 0.346], [0.740, 0.346, 0.740], [0.346, 0.740, 0.740], [0.260, 0.654, 0.260], [0.260, 0.260, 0.654], [0.654, 0.260, 0.260]]
}

=====

Entry 2:
{
  "formula": "CsHfZr3",
  "functional": "PBE",
  "state": "optimized geometry",
  "e_form_kj_per_mol_fu": 931,
  "e_above_lowest_polymorph_mev_per_atom": 676,
  "lattice_angstrom": [[-5.162, 0.259, -0.598], [0.259, -3.561, -3.784], [-0.597, -3.784, 3.520]],
  "species": ["Zr", "Zr", "Zr", "Hf", "Cs"],
  "fractional_positions": [[0.000, 0.000, 0.500], [0.000, 0.500, 0.000], [0.500, 0.000, 0.000], [0.500, 0.500, 0.500], [0.000, 0.000, 0.000]]
}

=====

Entry 3:
{
  "formula": "KCdAs2",
  "functional": "PBE",
  "state": "optimized geometry",
  "e_form_kj_per_mol_fu": -51,
  "lattice_angstrom": [[-2.808, -4.735, 0.224], [-1.045, -4.191, 3.420], [-5.393, 2.041, 2.628]],
  "species": ["As", "As", "Cd", "K"],
  "fractional_positions": [[0.497, 0.497, 0.389], [0.003, 0.003, 0.111], [0.250, 0.250, 0.250], [0.750, 0.750, 0.750]]
}

=====

Entry 4:
{
  "formula": "MgCd6Ni2",
  "functional": "PBE",
  "state": "optimized geometry",
  "e_form_kj_per_mol_fu": 7,
  "lattice_angstrom": [[3.732, 0.000, 1.055], [1.672, 6.400, 1.213], [-0.087, -0.115, 7.438]],
  "species": ["Ni", "Ni", "Cd", "Cd", "Cd", "Cd", "Cd", "Cd", "Mg"],
  "fractional_positions": [[0.407, 0.445, 0.740], [0.593, 0.555, 0.260], [0.989, 0.849, 0.172], [0.316, 0.828, 0.540], [0.684, 0.172, 0.460], [0.715, 0.683, 0.888], [0.285, 0.317, 0.112], [0.011, 0.151, 0.828], [0.000, 0.500, 0.500]]
}

=====

Entry 5:
{
  "formula": "Ag2HRu2",
  "functional": "PBE",
  "state": "optimized geometry",
  "dft_energy_ev_per_atom": -5.023,
  "lattice_angstrom": [[-2.107, -1.902, -4.443], [4.504, 0.987, -2.558], [1.652, -4.536, 1.158]],
  "species": ["Ru", "Ru", "Ru", "Ru", "H", "H", "Ag", "Ag", "Ag", "Ag"],
  "fractional_positions": [[0.667, 0.167, 0.000], [0.167, 0.333, 0.000], [0.333, 0.833, 0.000], [0.833, 0.667, 0.000], [0.500, 0.500, 0.000], [0.000, 0.000, 0.000], [0.323, 0.177, 0.500], [0.177, 0.677, 0.500], [0.823, 0.323, 0.500], [0.677, 0.823, 0.500]]
}

=====

Entry 6:
{
  "formula": "LiLaLuIn",
  "functional": "PBE",
  "state": "optimized geometry",
  "e_form_kj_per_mol_fu": -95,
  "lattice_angstrom": [[5.373, 0.000, 0.000], [2.686, 4.653, 0.000], [2.686, 1.551, 4.387]],
  "species": ["Li", "Lu", "In", "La"],
  "fractional_positions": [[0.000, 0.000, 0.000], [0.750, 0.750, 0.750], [0.500, 0.500, 0.500], [0.250, 0.250, 0.250]]
}

=====

Entry 7:
{
  "formula": "NaCd2H2",
  "functional": "PBE",
  "state": "optimized geometry",
  "e_above_lowest_polymorph_mev_per_atom": 75,
  "lattice_angstrom": [[-2.173, 0.184, -3.581], [1.016, -3.985, -0.821], [-4.361, -3.322, 0.021]],
  "species": ["Na", "H", "H", "Cd", "Cd"],
  "fractional_positions": [[0.000, 0.000, 0.000], [0.250, 0.750, 0.500], [0.750, 0.250, 0.500], [0.345, 0.345, 0.311], [0.655, 0.655, 0.689]]
}

=====

Entry 8:
{
  "formula": "CsNdMgO3",
  "functional": "PBE",
  "state": "optimized geometry",
  "raw_formation_energy_kj_per_mol_atoms": -239.0,
  "lattice_angstrom": [[3.715, 0.000, 0.000], [0.000, 8.288, 0.316], [0.000, -2.866, 8.257]],
  "species": ["O", "O", "O", "O", "O", "O", "Mg", "Mg", "Cs", "Cs", "Nd", "Nd"],
  "fractional_positions": [[0.750, 0.464, 0.129], [0.750, 0.845, 0.158], [0.750, 0.145, 0.557], [0.250, 0.855, 0.443], [0.250, 0.536, 0.871], [0.250, 0.155, 0.842], [0.250, 0.083, 0.608], [0.750, 0.917, 0.392], [0.750, 0.803, 0.790], [0.250, 0.197, 0.210], [0.750, 0.343, 0.855], [0.250, 0.657, 0.145]]
}

=====

Entry 9:
{
  "formula": "PmCuPtAu",
  "functional": "PBE",
  "state": "optimized geometry",
  "e_form_kj_per_mol_fu": -191,
  "lattice_angstrom": [[4.786, 0.000, 0.000], [2.393, 4.145, 0.000], [2.393, 1.382, 3.908]],
  "species": ["Au", "Pm", "Cu", "Pt"],
  "fractional_positions": [[0.500, 0.500, 0.500], [0.000, 0.000, 0.000], [0.250, 0.250, 0.250], [0.750, 0.750, 0.750]]
}

=====

Entry 10:
{
  "formula": "Zn2Mo",
  "functional": "PBE",
  "state": "optimized geometry",
  "e_form_kj_per_mol_fu": 347,
  "lattice_angstrom": [[-1.002, 0.782, -6.037], [-5.049, -3.524, 0.382], [-3.400, 5.003, 1.212]],
  "species": ["Zn", "Zn", "Zn", "Zn", "Zn", "Zn", "Zn", "Zn", "Mo", "Mo", "Mo", "Mo"],
  "fractional_positions": [[0.379, 0.121, 0.879], [0.621, 0.879, 0.121], [0.879, 0.121, 0.621], [0.379, 0.379, 0.379], [0.121, 0.879, 0.379], [0.621, 0.621, 0.621], [0.879, 0.379, 0.121], [0.121, 0.621, 0.879], [0.500, 0.000, 0.500], [0.000, 0.500, 0.500], [0.500, 0.500, 0.000], [0.000, 0.000, 0.000]]
}

=====

Entry 11:
{
  "formula": "LaAl3Ir3",
  "functional": "PBE",
  "state": "optimized geometry",
  "e_form_kj_per_mol_fu": -186,
  "lattice_angstrom": [[-6.462, -0.292, 1.868], [0.894, -6.334, 2.103], [1.666, 2.266, 6.118]],
  "species": ["Al", "Al", "Al", "Al", "Al", "Al", "Ir", "Ir", "Ir", "Ir", "Ir", "Ir", "La", "La"],
  "fractional_positions": [[0.500, 0.000, 0.250], [0.000, 0.250, 0.500], [0.750, 0.500, 0.000], [0.500, 0.000, 0.750], [0.250, 0.500, 0.000], [0.000, 0.750, 0.500], [0.500, 0.250, 0.000], [0.500, 0.750, 0.000], [0.750, 0.000, 0.500], [0.000, 0.500, 0.250], [0.000, 0.500, 0.750], [0.250, 0.000, 0.500], [0.500, 0.500, 0.500], [0.000, 0.000, 0.000]]
}

=====

Entry 12:
{
  "formula": "Ac6Si2PtBr3",
  "functional": "PBE",
  "state": "optimized geometry",
  "raw_formation_energy_kj_per_mol_atoms": -107.3,
  "lattice_angstrom": [[4.483, 0.000, 0.000], [0.000, 9.450, 0.331], [-2.242, -2.721, 9.665]],
  "species": ["Ac", "Ac", "Ac", "Ac", "Ac", "Ac", "Br", "Br", "Br", "Si", "Si", "Pt"],
  "fractional_positions": [[0.675, 0.565, 0.349], [0.657, 0.104, 0.313], [0.994, 0.777, 0.987], [0.006, 0.223, 0.013], [0.325, 0.435, 0.651], [0.343, 0.896, 0.687], [0.827, 0.165, 0.654], [0.500, 0.500, 0.000], [0.173, 0.835, 0.346], [0.835, 0.664, 0.669], [0.165, 0.336, 0.331], [0.500, 0.000, 0.000]]
}

=====

Copy entry 1 word for word.
{
  "formula": "KSb6S12",
  "functional": "PBE",
  "state": "optimized geometry",
  "raw_formation_energy_kj_per_mol_atoms": 4.6,
  "lattice_angstrom": [[-7.055, 3.598, -1.575], [0.025, -6.592, -4.663], [-0.770, -2.817, 7.528]],
  "species": ["K", "S", "S", "S", "S", "S", "S", "S", "S", "S", "S", "S", "S", "Sb", "Sb", "Sb", "Sb", "Sb", "Sb"],
  "fractional_positions": [[0.000, 0.000, 0.000], [0.123, 0.500, 0.877], [0.433, 0.433, 0.155], [0.845, 0.567, 0.567], [0.500, 0.123, 0.877], [0.877, 0.500, 0.123], [0.123, 0.877, 0.500], [0.500, 0.877, 0.123], [0.567, 0.567, 0.845], [0.877, 0.123, 0.500], [0.155, 0.433, 0.433], [0.567, 0.845, 0.567], [0.433, 0.155, 0.433], [0.740, 0.740, 0.346], [0.740, 0.346, 0.740], [0.346, 0.740, 0.740], [0.260, 0.654, 0.260], [0.260, 0.260, 0.654], [0.654, 0.260, 0.260]]
}

=====

Please write out number 8 again, unchanged.
{
  "formula": "CsNdMgO3",
  "functional": "PBE",
  "state": "optimized geometry",
  "raw_formation_energy_kj_per_mol_atoms": -239.0,
  "lattice_angstrom": [[3.715, 0.000, 0.000], [0.000, 8.288, 0.316], [0.000, -2.866, 8.257]],
  "species": ["O", "O", "O", "O", "O", "O", "Mg", "Mg", "Cs", "Cs", "Nd", "Nd"],
  "fractional_positions": [[0.750, 0.464, 0.129], [0.750, 0.845, 0.158], [0.750, 0.145, 0.557], [0.250, 0.855, 0.443], [0.250, 0.536, 0.871], [0.250, 0.155, 0.842], [0.250, 0.083, 0.608], [0.750, 0.917, 0.392], [0.750, 0.803, 0.790], [0.250, 0.197, 0.210], [0.750, 0.343, 0.855], [0.250, 0.657, 0.145]]
}